SrLaI2N after structural relaxation, computed with PBE.

Calculated values
- Uncorrected formation energy: -1317 meV per atom
- Size of the total moment: 0.04 μB per atom
- Polymorph energy (0 for the lowest one): 0.0 kJ/mol of formula units

Unit cell a=4.453 b=4.453 c=17.683 alpha=90.00 beta=90.00 gamma=90.00
Positions (direct):
Sr1 0.250 0.250 0.133
Sr2 0.750 0.750 0.867
La1 0.250 0.250 0.556
La2 0.750 0.750 0.444
I1 0.250 0.250 0.305
I2 0.250 0.250 0.920
I3 0.750 0.750 0.080
I4 0.750 0.750 0.695
N1 0.250 0.750 0.500
N2 0.750 0.250 0.500

LiPm2RhO5 after structural relaxation, computed with PBE.

Calculated values
- Uncorrected formation energy: -2174 meV per atom
- Size of the total moment: 0.22 μB per atom

Unit cell a=6.747 b=6.747 c=5.776 alpha=90.00 beta=90.00 gamma=90.00
Positions (direct):
Li1 0.000 0.000 0.000
Li2 0.500 0.500 0.000
Pm1 0.176 0.324 0.500
Pm2 0.324 0.824 0.500
Pm3 0.676 0.176 0.500
Pm4 0.824 0.676 0.500
Rh1 0.000 0.500 0.000
Rh2 0.500 0.000 0.000
O1 0.000 0.000 0.500
O2 0.136 0.636 0.251
O3 0.136 0.636 0.749
O4 0.364 0.136 0.251
O5 0.364 0.136 0.749
O6 0.500 0.500 0.500
O7 0.636 0.864 0.251
O8 0.636 0.864 0.749
O9 0.864 0.364 0.251
O10 0.864 0.364 0.749

Ca2GeTe after structural relaxation, computed with PBE.

Calculated values
- Uncorrected formation energy: -673 meV per atom
- Size of the total moment: 0.00 μB per atom
- Polymorph energy (0 for the lowest one): 17.8 kJ/mol of formula units

Unit cell a=6.803 b=6.803 c=6.803 alpha=105.77 beta=105.77 gamma=117.16
Positions (direct):
Ca1 0.112 0.125 0.487
Ca2 0.375 0.888 0.013
Ca3 0.638 0.625 0.513
Ca4 0.875 0.362 0.987
Ge1 0.000 0.000 0.000
Ge2 0.750 0.250 0.500
Te1 0.250 0.750 0.500
Te2 0.500 0.500 0.000

ScFeSb after structural relaxation, computed with PBE.

Calculated values
- Uncorrected formation energy: -179 meV per atom
- Size of the total moment: 0.64 μB per atom

Unit cell a=5.411 b=5.411 c=5.411 alpha=143.47 beta=143.47 gamma=52.62
Positions (direct):
Sc1 0.000 0.000 0.000
Fe1 0.334 0.334 0.000
Sb1 0.699 0.699 0.000

CsTl2Pb after structural relaxation, computed with PBE.

Calculated values
- Calculated formation energy: -15 meV/atom
- Size of the total moment: 0.00 μB per atom
- Polymorph energy (0 for the lowest one): 35.7 kJ/mol of formula units

Unit cell a=5.919 b=5.919 c=5.919 alpha=60.00 beta=60.00 gamma=60.00
Positions (direct):
Cs1 0.000 0.000 0.000
Tl1 0.250 0.250 0.250
Tl2 0.750 0.750 0.750
Pb1 0.500 0.500 0.500

RbNa2ZnHg after structural relaxation, computed with PBE.

Calculated values
- Calculated formation energy: -2 meV/atom
- Size of the total moment: 0.00 μB per atom
- Polymorph energy (0 for the lowest one): 0.0 kJ/mol of formula units

Unit cell a=6.021 b=6.021 c=5.127 alpha=90.00 beta=90.00 gamma=90.00
Positions (direct):
Rb1 0.000 0.000 0.000
Na1 0.000 0.500 0.500
Na2 0.500 0.000 0.500
Zn1 0.500 0.500 0.000
Hg1 0.500 0.500 0.500

Question: Which of these has the highest size of the total moment?
Answer: ScFeSb

Question: Among the records above, which one has the highest size of the total moment?
Answer: ScFeSb

Question: What is the formula in the third record?
Answer: Ca2GeTe